1.
VASP calculation (PBE) on an optimized crystal structure of Ni18Bi3AsS16.

Cell: 9.046 9.046 9.046 Å, 106.78 110.83 110.83°
Sites, in units of the cell vectors:
As: 0.000 0.500 0.500
Bi: 0.000 0.000 0.000
Bi: 0.500 0.750 0.250
Bi: 0.500 0.250 0.750
Ni: 0.500 0.500 0.000
Ni: 0.343 0.045 0.045
Ni: 0.000 0.702 0.045
Ni: 0.713 0.235 0.235
Ni: 0.000 0.522 0.235
Ni: 0.343 0.298 0.298
Ni: 0.000 0.955 0.298
Ni: 0.000 0.765 0.478
Ni: 0.713 0.478 0.478
Ni: 0.500 0.000 0.500
Ni: 0.000 0.235 0.522
Ni: 0.287 0.522 0.522
Ni: 0.000 0.045 0.702
Ni: 0.657 0.702 0.702
Ni: 0.000 0.478 0.765
Ni: 0.287 0.765 0.765
Ni: 0.000 0.298 0.955
Ni: 0.657 0.955 0.955
S: 0.772 0.241 0.013
S: 0.512 0.348 0.164
S: 0.815 0.652 0.164
S: 0.228 0.468 0.241
S: 0.772 0.013 0.241
S: 0.185 0.836 0.348
S: 0.512 0.164 0.348
S: 0.228 0.241 0.468
S: 0.772 0.759 0.532
S: 0.815 0.164 0.652
S: 0.488 0.836 0.652
S: 0.772 0.532 0.759
S: 0.228 0.987 0.759
S: 0.185 0.348 0.836
S: 0.488 0.652 0.836
S: 0.228 0.759 0.987

Properties
M_tot, μB per formula unit: 0.03
DFT total energy, eV per atom: -5.17

=====

2.
VASP calculation (PBE) on an optimized crystal structure of Y2Ni2BiAs.

Cell: 10.916 4.463 10.928 Å, 90.00 109.42 90.00°
Sites, in units of the cell vectors:
As: 0.995 0.000 0.250
As: 0.750 0.000 0.503
As: 0.502 0.000 0.746
As: 0.871 0.500 0.873
Bi: 0.251 0.000 0.000
Bi: 0.628 0.500 0.125
Bi: 0.374 0.500 0.374
Bi: 0.124 0.500 0.627
Ni: 0.375 0.500 0.125
Ni: 0.762 0.000 0.255
Ni: 0.115 0.500 0.368
Ni: 0.508 0.000 0.511
Ni: 0.869 0.500 0.627
Ni: 0.257 0.000 0.749
Ni: 0.631 0.500 0.870
Ni: 0.992 0.000 0.998
Y: 0.109 0.500 0.122
Y: 0.510 0.000 0.259
Y: 0.874 0.500 0.379
Y: 0.247 0.000 0.496
Y: 0.629 0.500 0.629
Y: 0.988 0.000 0.751
Y: 0.385 0.500 0.868
Y: 0.752 0.000 0.993

Properties
M_tot, μB per formula unit: 0.00
DFT total energy, eV per atom: -6.25

=====

3.
VASP calculation (PBE) on an optimized crystal structure of NpBiAs.

Cell: 4.945 4.945 4.945 Å, 60.00 60.00 60.00°
Sites, in units of the cell vectors:
As: 0.000 0.000 0.000
Bi: 0.250 0.250 0.250
Np: 0.750 0.750 0.750

Properties
M_tot, μB per formula unit: 4.34
DFT total energy, eV per atom: -7.10

=====

4.
VASP calculation (PBE) on an optimized crystal structure of BiAsPdO.

Cell: 4.174 5.552 6.868 Å, 90.00 90.00 90.00°
Sites, in units of the cell vectors:
As: 0.000 0.274 0.315
As: 0.000 0.726 0.815
Bi: 0.500 0.892 0.069
Bi: 0.500 0.108 0.569
O: 0.500 0.742 0.414
O: 0.500 0.258 0.914
Pd: 0.000 0.683 0.456
Pd: 0.000 0.317 0.956

Properties
Energy above the most stable polymorph in this dataset, meV per atom: 336

=====

5.
VASP calculation (PBE) on an optimized crystal structure of BiAsPdO.

Cell: 4.479 4.479 8.344 Å, 90.00 90.00 90.00°
Sites, in units of the cell vectors:
As: 0.750 0.750 0.257
As: 0.250 0.250 0.743
Bi: 0.750 0.250 0.500
Bi: 0.250 0.750 0.500
O: 0.750 0.250 0.000
O: 0.250 0.750 0.000
Pd: 0.250 0.250 0.030
Pd: 0.750 0.750 0.970

Properties
Energy above the most stable polymorph in this dataset, meV per atom: 769

=====

6.
VASP calculation (PBE) on an optimized crystal structure of BiAsPdO.

Cell: 4.099 4.099 8.661 Å, 90.00 90.00 90.00°
Sites, in units of the cell vectors:
As: 0.750 0.750 0.333
As: 0.250 0.250 0.667
Bi: 0.250 0.250 0.142
Bi: 0.750 0.750 0.858
O: 0.750 0.250 0.000
O: 0.250 0.750 0.000
Pd: 0.750 0.250 0.500
Pd: 0.250 0.750 0.500

Properties
Energy above the most stable polymorph in this dataset, meV per atom: 0

=====

Calculated volume for the records above, in order: 568.9; 502.1; 85.5; 159.1; 167.4; 145.5 Å³ per cell